Record 1
KAcAu2 | GGA-PBE | optimized geometry

a b c (Å): 3.9971 3.9971 8.1810
angles (deg): 90.00 90.00 90.00
With the nearest neighbours (Å) after each atom.
Fractional positions:
Au 0.0000 0.0000 0.1946  1 Au 3.18, 4 Ac 3.24
Au 0.0000 0.0000 0.8054  1 Au 3.18, 4 Ac 3.24
K 0.5000 0.5000 0.5000  8 Au 3.77, 4 K 4.00, 2 Ac 4.09
Ac 0.5000 0.5000 0.0000  8 Au 3.24

- DFT total energy: -14.1 eV per cell
- SG: P4/mmm, No. 123
- DFT formation energy: -0.5783 eV per atom
- Fermi-level density of states: 1.6 states/eV per cell
- Magnetic moment: 0.00 μB per atom

Record 2
KInReAs2 | GGA-PBE | optimized geometry

a b c (Å): 5.2710 6.0531 5.2710
angles (deg): 90.00 90.00 90.00
With the nearest neighbours (Å) after each atom.
Fractional positions:
K 0.0000 0.5000 0.0000  2 In 3.03
As 0.0000 0.0000 0.5000  2 In 2.64
As 0.5000 0.0000 0.0000  2 In 2.64
In 0.0000 0.0000 0.0000  4 As 2.64
Re 0.5000 0.5000 0.5000  4 K 3.73, 8 As 4.01

- DFT total energy: -17.2 eV per cell
- SG: P4/mmm, No. 123
- DFT formation energy: 1.6847 eV per atom
- Fermi-level density of states: 3.9 states/eV per cell
- Magnetic moment: 0.97 μB per atom

Record 3
KTlRu | GGA-PBE | optimized geometry

a b c (Å): 5.1857 5.1857 5.1857
angles (deg): 60.00 60.00 60.00
With the nearest neighbours (Å) after each atom.
Fractional positions:
Tl 0.5000 0.5000 0.5000  4 K 3.18
K 0.7500 0.7500 0.7500  4 Tl 3.18, 4 Ru 3.18
Ru 0.0000 0.0000 0.0000  4 K 3.18

- DFT total energy: -7.9 eV per cell
- SG: F-43m, No. 216
- DFT formation energy: 1.6207 eV per atom
- Fermi-level density of states: 8.1 states/eV per cell
- Magnetic moment: 0.72 μB per atom

Record 4
LiNb2Pd9 | GGA-PBE | optimized geometry

a b c (Å): 3.9628 3.9628 11.8025
angles (deg): 90.00 90.00 90.00
With the nearest neighbours (Å) after each atom.
Fractional positions:
Nb 0.0000 0.0000 0.6773  12 Pd 2.69-2.88
Nb 0.0000 0.0000 0.3227  12 Pd 2.69-2.88
Pd 0.5000 0.0000 0.5000  8 Pd 2.77-2.80, 4 Nb 2.88
Pd 0.5000 0.0000 0.8316  2 Nb 2.69, 8 Pd 2.80-2.81, 2 Li 2.81
Pd 0.0000 0.5000 0.1684  2 Nb 2.69, 8 Pd 2.80-2.81, 2 Li 2.81
Pd 0.5000 0.5000 0.3355  8 Pd 2.77-2.80, 4 Nb 2.81
Pd 0.5000 0.0000 0.1684  2 Nb 2.69, 8 Pd 2.80-2.81, 2 Li 2.81
Pd 0.5000 0.5000 0.0000  4 Li 2.80, 8 Pd 2.81
Pd 0.0000 0.5000 0.5000  8 Pd 2.77-2.80, 4 Nb 2.88
Pd 0.5000 0.5000 0.6645  8 Pd 2.77-2.80, 4 Nb 2.81
Pd 0.0000 0.5000 0.8316  2 Nb 2.69, 8 Pd 2.80-2.81, 2 Li 2.81
Li 0.0000 0.0000 0.0000  12 Pd 2.80-2.81

- DFT total energy: -73.6 eV per cell
- SG: P4/mmm, No. 123
- DFT formation energy: -0.4037 eV per atom
- Fermi-level density of states: 3.7 states/eV per cell
- Magnetic moment: 0.00 μB per atom

Record 5
Al2SbClF | GGA-PBE | optimized geometry

a b c (Å): 5.5890 5.1051 5.5890
angles (deg): 90.00 90.00 90.00
With the nearest neighbours (Å) after each atom.
Fractional positions:
Al 0.5000 0.0000 0.0000  2 Cl 2.79
Al 0.0000 0.0000 0.5000  2 Cl 2.79
Cl 0.0000 0.0000 0.0000  2 Sb 2.55, 4 Al 2.79
Sb 0.0000 0.5000 0.0000  2 Cl 2.55
F 0.5000 0.5000 0.5000  8 Al 3.78, 4 Sb 3.95

- Uncorrected formation energy: 409 meV/atom
- DFT total energy: -13.3 eV per cell
- SG: P4/mmm, No. 123
- Fermi-level density of states: 2.7 states/eV per cell
- Magnetic moment: 0.00 μB per atom

Record 6
Cs3Hg6Pt2 | GGA-PBE | optimized geometry

a b c (Å): 5.4295 5.4295 15.4921
angles (deg): 100.09 100.09 90.00
With the nearest neighbours (Å) after each atom.
Fractional positions:
Hg 0.3150 0.3150 0.6300  1 Pt 2.73
Hg 0.0922 0.5922 0.1844  2 Pt 2.72
Hg 0.9078 0.4078 0.8156  2 Pt 2.72
Hg 0.4078 0.9078 0.8156  2 Pt 2.72
Hg 0.5922 0.0922 0.1844  2 Pt 2.72
Hg 0.6850 0.6850 0.3700  1 Pt 2.73
Pt 0.4058 0.4058 0.8117  5 Hg 2.72-2.73
Pt 0.5942 0.5942 0.1883  5 Hg 2.72-2.73
Cs 0.0000 0.0000 0.0000  8 Hg 3.88
Cs 0.1829 0.1829 0.3658  9 Hg 3.84-3.97
Cs 0.8171 0.8171 0.6342  9 Hg 3.84-3.97

- DFT total energy: -19.0 eV per cell
- SG: I4/mmm, No. 139
- DFT formation energy: -0.2341 eV per atom
- Fermi-level density of states: 1.8 states/eV per cell
- Magnetic moment: 0.00 μB per atom

Record 7
FeTe2RuC | GGA-PBE | optimized geometry

a b c (Å): 4.7824 3.6564 4.7824
angles (deg): 90.00 90.00 90.00
With the nearest neighbours (Å) after each atom.
Fractional positions:
Te 0.5000 0.0000 0.0000  2 C 2.39
Te 0.0000 0.0000 0.5000  2 C 2.39
C 0.0000 0.0000 0.0000  2 Fe 1.83
Ru 0.5000 0.5000 0.5000  8 Te 3.01
Fe 0.0000 0.5000 0.0000  2 C 1.83

- Uncorrected formation energy: 967 meV/atom
- DFT total energy: -28.4 eV per cell
- SG: P4/mmm, No. 123
- Fermi-level density of states: 3.8 states/eV per cell
- Magnetic moment: 0.48 μB per atom

Record 8
Ca3Pa2CdN6 | GGA-PBE | optimized geometry

a b c (Å): 3.5813 7.0419 7.7108
angles (deg): 104.24 103.43 90.00
With the nearest neighbours (Å) after each atom.
Fractional positions:
Ca 0.5000 0.5000 0.0000  6 N 2.47-2.59
Ca 0.1596 0.8351 0.3192  6 N 2.46-2.73
Ca 0.8404 0.1649 0.6808  6 N 2.46-2.73
N 0.3285 0.8897 0.6569  2 Pa 2.35, 3 Ca 2.46-2.61, 1 Cd 2.49
N 0.6715 0.1103 0.3431  2 Pa 2.35, 3 Ca 2.46-2.61, 1 Cd 2.49
N 0.3229 0.4464 0.6458  3 Pa 2.36-2.41, 1 Ca 2.59
N 0.0112 0.2646 0.0224  1 Pa 2.19
N 0.9888 0.7354 0.9776  1 Pa 2.19
N 0.6771 0.5536 0.3542  3 Pa 2.36-2.41, 1 Ca 2.59
Cd 0.5000 0.0000 0.0000  6 N 2.49-2.56
Pa 0.1614 0.3189 0.3228  6 N 2.19-2.41
Pa 0.8386 0.6811 0.6772  6 N 2.19-2.41

- Uncorrected formation energy: -1196 meV/atom
- DFT total energy: -90.2 eV per cell
- SG: C2/m, No. 12
- Magnetic moment: 0.00 μB per atom

Record 9
Mn2Ni2Os | GGA-PBE | optimized geometry

a b c (Å): 6.6711 6.6711 2.6363
angles (deg): 90.00 90.00 90.00
With the nearest neighbours (Å) after each atom.
Fractional positions:
Ni 0.1865 0.6865 0.5000  6 Mn 2.34-2.42
Ni 0.8135 0.3135 0.5000  6 Mn 2.34-2.42
Ni 0.3135 0.1865 0.5000  6 Mn 2.34-2.42
Ni 0.6865 0.8135 0.5000  6 Mn 2.34-2.42
Mn 0.6082 0.1082 0.0000  1 Mn 2.04
Mn 0.1082 0.3918 0.0000  1 Mn 2.04
Mn 0.3918 0.8918 0.0000  1 Mn 2.04
Mn 0.8918 0.6082 0.0000  1 Mn 2.04
Os 0.5000 0.5000 0.0000  2 Os 2.64, 4 Mn 2.71, 8 Ni 2.77
Os 0.0000 0.0000 0.0000  2 Os 2.64, 4 Mn 2.71, 8 Ni 2.77

- DFT total energy: -78.9 eV per cell
- SG: P4/mbm, No. 127
- DFT formation energy: 0.3346 eV per atom
- Fermi-level density of states: 10.9 states/eV per cell
- Magnetic moment: 0.00 μB per atom

Record 10
Nd8Cu2Sb | GGA-PBE | optimized geometry

a b c (Å): 5.4916 8.2428 8.2428
angles (deg): 114.74 98.27 98.27
With the nearest neighbours (Å) after each atom.
Fractional positions:
Nd 0.3063 0.6082 0.6082  2 Cu 3.10, 2 Nd 3.23-3.40, 1 Sb 3.36
Nd 0.0864 0.3124 0.0735  2 Cu 3.04-3.16, 2 Nd 3.31-3.32
Nd 0.9136 0.9265 0.6876  2 Cu 3.04-3.16, 2 Nd 3.31-3.32
Nd 0.5000 0.7568 0.2432  2 Cu 2.91
Nd 0.9136 0.6876 0.9265  2 Cu 3.04-3.16, 2 Nd 3.31-3.32
Nd 0.0864 0.0735 0.3124  2 Cu 3.04-3.16, 2 Nd 3.31-3.32
Nd 0.6937 0.3918 0.3918  2 Cu 3.10, 2 Nd 3.23-3.40, 1 Sb 3.36
Nd 0.5000 0.2432 0.7568  2 Cu 2.91
Cu 0.0000 0.6870 0.3130  8 Nd 2.91-3.16
Cu 0.0000 0.3130 0.6870  8 Nd 2.91-3.16
Sb 0.5000 0.0000 0.0000  12 Nd 3.36-3.62

- Uncorrected formation energy: -161 meV/atom
- DFT total energy: -52.2 eV per cell
- SG: C2/m, No. 12
- Fermi-level density of states: 13.6 states/eV per cell
- Magnetic moment: 0.00 μB per atom

Record 11
Y2HfBr | GGA-PBE | optimized geometry

a b c (Å): 3.3471 3.3471 11.2959
angles (deg): 81.48 81.48 60.00
With the nearest neighbours (Å) after each atom.
Fractional positions:
Y 0.0953 0.0953 0.7142  3 Br 3.07, 1 Hf 3.18, 6 Y 3.35
Y 0.9047 0.9047 0.2858  3 Br 3.07, 1 Hf 3.18, 6 Y 3.35
Br 0.5000 0.5000 0.5000  6 Y 3.07, 6 Br 3.35
Hf 0.0000 0.0000 0.0000  2 Y 3.18, 6 Hf 3.35

- Uncorrected formation energy: -38 meV/atom
- DFT total energy: -24.7 eV per cell
- SG: R-3m, No. 166
- Fermi-level density of states: 5.7 states/eV per cell
- Magnetic moment: 0.00 μB per atom

Record 12
Y2ZrTa | GGA-PBE | optimized geometry

a b c (Å): 5.2276 5.2276 5.2276
angles (deg): 60.00 60.00 60.00
With the nearest neighbours (Å) after each atom.
Fractional positions:
Ta 0.5000 0.5000 0.5000  8 Y 3.20
Zr 0.0000 0.0000 0.0000  8 Y 3.20
Y 0.2500 0.2500 0.2500  4 Zr 3.20, 4 Ta 3.20
Y 0.7500 0.7500 0.7500  4 Zr 3.20, 4 Ta 3.20

- DFT total energy: -31.4 eV per cell
- SG: Fm-3m, No. 225
- DFT formation energy: 0.4826 eV per atom
- Fermi-level density of states: 5.0 states/eV per cell
- Magnetic moment: 0.10 μB per atom